The following is a DFT calculation (PBE) of a relaxed structure of ZrIn4B2.

The value obtained for the calculated formation energy is 0.775 eV/atom. Its raw total energy is -3.919 eV/atom. For the volume, the calculation gives 27.074 Å³ per atom.

abc: 5.660 5.660 11.830
angles: 90.00 90.00 90.00
Space group I4/mmm (No. 139)
Symmetry-distinct sites (fractional):
Zr: 0.000 0.000 0.000
In: 0.000 0.000 0.245
In: 0.000 0.500 0.000
B: 0.000 0.000 0.433